(1)
A relaxed structure of Ac2Pr3Ga4. Source: the Alexandria database, functional PBE.

Cell: 7.9383 8.4489 8.3792 Å, 90.00 90.00 105.95°
Fractional positions:
Ac1 0.5714 0.1896 0.3229
Ac2 0.9286 0.8104 0.8229
Ac3 0.4286 0.8104 0.6771
Ac4 0.0714 0.1896 0.1771
Pr1 0.0000 0.5000 0.5000
Pr2 0.5000 0.5000 0.0000
Pr3 0.7523 0.2385 0.8232
Pr4 0.7477 0.7615 0.3232
Pr5 0.2477 0.7615 0.1768
Pr6 0.2523 0.2385 0.6768
Ga1 0.8759 0.0783 0.5347
Ga2 0.6241 0.9217 0.0347
Ga3 0.1241 0.9217 0.4653
Ga4 0.3759 0.0783 0.9653
Ga5 0.8817 0.4969 0.1153
Ga6 0.6183 0.5031 0.6153
Ga7 0.1183 0.5031 0.8847
Ga8 0.3817 0.4969 0.3847

Properties
Formation energy: -499 meV/atom
VASP energy: -4.35 eV per atom
ρ: 7102 kg/m3

(2)
A relaxed structure of AcPr2Ga6. Source: the Alexandria database, functional PBE.

Cell: 4.4923 7.4924 7.4924 Å, 120.00 90.00 90.00°
Fractional positions:
Ac1 0.0000 0.0000 0.0000
Pr1 0.0000 0.3333 0.6667
Pr2 0.0000 0.6667 0.3333
Ga1 0.5000 0.3364 0.3364
Ga2 0.5000 0.6636 0.6636
Ga3 0.5000 0.0000 0.6636
Ga4 0.5000 0.6636 0.0000
Ga5 0.5000 0.3364 0.0000
Ga6 0.5000 0.0000 0.3364

Properties
Formation energy: -661 meV/atom
VASP energy: -4.20 eV per atom
ρ: 7049 kg/m3

Q: Which value of ρ does entry 1 give?
A: 7102 kg/m3

Q: The highest formation energy belongs to which entry?
A: Ac2Pr3Ga4